Material: Dy5B2O6F9
Method: DFT, PBE
State: relaxed

Values from the calculation:
Total magnetic moment ... 0.01 μB per cell
Electronic total energy ... -0.5463 Ry/atom

Unit cell a=20.1496 b=6.0604 c=8.2017 alpha=90.00 beta=100.02 gamma=90.00
Closest atoms and distances in Å follow each position.
Space group C2/c (No. 15)
Symmetry-distinct sites (fractional):
Dy 0.0000 0.1106 0.2500 [4 per cell]  3 F 2.30-2.41, 4 O 2.31-2.32
Dy 0.1102 0.3868 0.9029 [8 per cell]  5 F 2.22-2.47, 3 O 2.30-2.40
Dy 0.1940 0.1216 0.3179 [8 per cell]  5 F 2.22-2.39, 3 O 2.31-2.48
B 0.1113 0.0958 0.5612 [8 per cell]  3 O 1.37-1.39
O 0.0922 0.1016 0.7148 [8 per cell]  1 B 1.38
O 0.0917 0.2409 0.4343 [8 per cell]  1 B 1.37
O 0.1595 0.0598 0.0379 [8 per cell]  1 B 1.39
F 0.0000 0.4897 0.2500 [4 per cell]  3 Dy 2.30-2.47
F 0.0307 0.1807 0.9838 [8 per cell]  2 Dy 2.22-2.41, 1 B 2.34
F 0.1318 0.4247 0.1823 [8 per cell]  3 Dy 2.25-2.39
F 0.2116 0.4265 0.4807 [8 per cell]  3 Dy 2.27-2.33
F 0.2221 0.2283 0.7888 [8 per cell]  2 Dy 2.22-2.23